First-principles (PBE) data for a geometry-optimized BeAlCd2 structure, as listed in the Alexandria database.

Geometry as extended XYZ:
```
4
Lattice="3.4415 0.0000 0.0000 0.0000 4.3183 0.0000 -0.8579 0.0000 5.0093" Properties=species:S:1:pos:R:3 pbc="T T T"
Be 0.0000 0.0000 0.0000
Al -0.4289 0.0000 2.5047
Cd 0.9052 2.1592 1.1590
Cd 1.6785 2.1592 3.8503
```

Properties
VASP energy ... -7.78 eV/f.u.
Energy of formation ... 0.380 eV/atom
Total moment ... 0.00 μB per cell
Symmetry ... No. 10